(1)
ZnSiW2 | GGA-PBE | relaxed

Computed properties:
For the total moment, the calculation gives 0.000 μB per atom. The value obtained for the volume is 59.0 Å³/cell. As for the crystal system: orthorhombic. The total energy is -7.81 eV/atom.

Cell: 4.862 4.862 2.690 Å, 90.00 90.00 111.80°
Sites, in units of the cell vectors:
Zn  0.000  0.000  0.000
Si  0.500  0.500  0.000
W  0.000  0.500  0.500
W  0.500  0.000  0.500


(2)
ZnSiW2 | GGA-PBE | relaxed

Computed properties:
For the total moment, the calculation gives 0.000 μB per atom. The value obtained for the volume is 60.7 Å³/cell. As for the crystal system: monoclinic. The total energy is -7.89 eV/atom.

Cell: 4.698 4.698 5.029 Å, 101.58 101.58 34.00°
Sites, in units of the cell vectors:
Zn  0.000  0.000  0.000
Si  0.500  0.500  0.500
W  0.241  0.241  0.746
W  0.759  0.759  0.254


(3)
ZnSiW2 | GGA-PBE | relaxed

Computed properties:
For the total moment, the calculation gives 0.000 μB per atom. The value obtained for the volume is 59.7 Å³/cell. As for the crystal system: orthorhombic. The total energy is -7.89 eV/atom.

Cell: 3.183 4.181 4.488 Å, 90.00 90.00 90.00°
Sites, in units of the cell vectors:
Zn  0.000  0.000  0.000
Si  0.500  0.000  0.500
W  0.000  0.500  0.500
W  0.500  0.500  0.000


(4)
ZnSiW2 | GGA-PBE | relaxed

Computed properties:
For the total moment, the calculation gives 0.000 μB per atom. The value obtained for the volume is 59.4 Å³/cell. As for the crystal system: tetragonal. The total energy is -7.80 eV/atom.

Cell: 4.854 4.854 4.854 Å, 133.38 133.38 68.06°
Sites, in units of the cell vectors:
Zn  0.000  0.000  0.000
Si  0.500  0.500  0.000
W  0.250  0.750  0.500
W  0.750  0.250  0.500


(5)
ZnSiW2 | GGA-PBE | relaxed

Computed properties:
For the total moment, the calculation gives 0.000 μB per atom. The value obtained for the volume is 59.3 Å³/cell. As for the crystal system: tetragonal. The total energy is -7.92 eV/atom.

Cell: 4.821 4.821 4.821 Å, 132.78 132.78 69.00°
Sites, in units of the cell vectors:
Zn  0.000  0.000  0.000
Si  0.250  0.750  0.500
W  0.500  0.500  0.000
W  0.750  0.250  0.500


(6)
ZnSi2W | GGA-PBE | relaxed

Computed properties:
For the total moment, the calculation gives 0.000 μB per atom. The value obtained for the volume is 57.4 Å³/cell. As for the crystal system: tetragonal. The total energy is -6.23 eV/atom.

Cell: 3.285 3.285 5.321 Å, 90.00 90.00 90.00°
Sites, in units of the cell vectors:
Zn  0.000  0.000  0.000
Si  0.500  0.500  0.255
Si  0.500  0.500  0.745
W  0.000  0.000  0.500


(7)
ZnSiW2 | GGA-PBE | relaxed

Computed properties:
For the total moment, the calculation gives 0.000 μB per atom. The value obtained for the volume is 58.0 Å³/cell. As for the crystal system: cubic. The total energy is -7.78 eV/atom.

Cell: 4.346 4.346 4.346 Å, 60.00 60.00 60.00°
Sites, in units of the cell vectors:
Zn  0.000  0.000  0.000
Si  0.500  0.500  0.500
W  0.250  0.250  0.250
W  0.750  0.750  0.750


(8)
ZnSi2W | GGA-PBE | relaxed

Computed properties:
For the total moment, the calculation gives 0.000 μB per atom. The value obtained for the volume is 61.0 Å³/cell. As for the crystal system: orthorhombic. The total energy is -5.99 eV/atom.

Cell: 2.800 2.800 7.998 Å, 90.00 90.00 103.36°
Sites, in units of the cell vectors:
Zn  0.000  0.000  0.000
Si  0.500  0.500  0.262
Si  0.500  0.500  0.738
W  0.000  0.000  0.500


(9)
ZnSiW2 | GGA-PBE | relaxed

Computed properties:
For the total moment, the calculation gives 0.000 μB per atom. The value obtained for the volume is 59.4 Å³/cell. As for the crystal system: cubic. The total energy is -7.83 eV/atom.

Cell: 4.381 4.381 4.381 Å, 60.00 60.00 60.00°
Sites, in units of the cell vectors:
Zn  0.000  0.000  0.000
Si  0.250  0.250  0.250
W  0.500  0.500  0.500
W  0.750  0.750  0.750


(10)
ZnSiW | GGA-PBE | relaxed

Computed properties:
For the total moment, the calculation gives 0.468 μB per atom. The value obtained for the volume is 53.2 Å³/cell. As for the crystal system: cubic. The total energy is -5.84 eV/atom.

Cell: 4.221 4.221 4.221 Å, 60.00 60.00 60.00°
Sites, in units of the cell vectors:
Zn  0.000  0.000  0.000
Si  0.500  0.500  0.500
W  0.250  0.250  0.250


(11)
ZnSi2W | GGA-PBE | relaxed

Computed properties:
For the total moment, the calculation gives 0.000 μB per atom. The value obtained for the volume is 58.6 Å³/cell. As for the crystal system: monoclinic. The total energy is -6.07 eV/atom.

Cell: 4.661 4.661 4.802 Å, 95.15 95.15 34.32°
Sites, in units of the cell vectors:
Zn  0.000  0.000  0.000
Si  0.238  0.238  0.732
Si  0.762  0.762  0.268
W  0.500  0.500  0.500


(12)
ZnSi2W2 | GGA-PBE | relaxed

Computed properties:
For the total moment, the calculation gives 0.000 μB per atom. The value obtained for the volume is 143.3 Å³/cell. As for the crystal system: tetragonal. The total energy is -7.54 eV/atom.

Cell: 6.524 6.524 3.368 Å, 90.00 90.00 90.00°
Sites, in units of the cell vectors:
Zn  0.000  0.000  0.000
Zn  0.500  0.500  0.000
Si  0.131  0.369  0.000
Si  0.369  0.869  0.000
Si  0.631  0.131  0.000
Si  0.869  0.631  0.000
W  0.166  0.666  0.500
W  0.334  0.166  0.500
W  0.666  0.834  0.500
W  0.834  0.334  0.500